1.
PmY: optimized geometry, PBE.

Properties
Its space group is F-43m (216). The crystal system is cubic. The energy above the most stable polymorph in this dataset is 1808.8 meV per atom. Its formation enthalpy at 0 K is 3.7 eV/f.u.

Cell and atoms, written as POSCAR:
```
PmY
1.0
0.000 3.412 3.412
3.412 0.000 3.412
3.412 3.412 0.000
Pm Y
1 1
Direct
0.000 0.000 0.000
0.750 0.750 0.750
```

=====

2.
Tm8InPb5: optimized geometry, PBE.

Properties
Its space group is I-4 (82). The crystal system is tetragonal. As for the electronic total energy: -63.30 eV per formula unit.

Cell and atoms, written as POSCAR:
```
Tm8InPb5
1.0
-4.633 4.633 4.631
4.633 -4.633 4.631
4.633 4.633 -4.631
Tm In Pb
8 1 5
Direct
0.017 0.126 0.750
0.229 0.480 0.607
0.377 0.267 0.250
0.377 0.771 0.250
0.520 0.127 0.750
0.733 0.983 0.110
0.873 0.623 0.393
0.874 0.623 0.890
0.750 0.250 0.500
0.001 0.376 0.126
0.125 0.999 0.375
0.250 0.875 0.874
0.500 0.500 0.000
0.624 0.750 0.625
```

=====

3.
Ni9Ge2: optimized geometry, PBE.

Properties
Its space group is P-3m1 (164). The crystal system is trigonal. As for the electronic total energy: -58.10 eV per formula unit.

Cell and atoms, written as POSCAR:
```
Ni9Ge2
1.0
2.579 0.000 0.000
-1.289 2.233 0.000
0.000 0.000 30.520
Ni Ge
9 2
Direct
0.000 0.000 0.000
0.000 0.000 0.195
0.000 0.000 0.805
0.333 0.667 0.130
0.333 0.667 0.739
0.333 0.667 0.935
0.667 0.333 0.065
0.667 0.333 0.261
0.667 0.333 0.870
0.333 0.667 0.329
0.667 0.333 0.671
```

=====

4.
GdSc3Zn: optimized geometry, PBE.

Properties
Its space group is Pm-3m (221). The crystal system is cubic. Its formation enthalpy at 0 K is 0.9 eV/f.u.

Cell and atoms, written as POSCAR:
```
GdSc3Zn
1.0
5.124 0.000 0.000
0.000 5.124 0.000
0.000 0.000 5.124
Gd Sc Zn
1 3 1
Direct
0.000 0.000 0.000
0.000 0.500 0.500
0.500 0.000 0.500
0.500 0.500 0.000
0.500 0.500 0.500
```